w:
# Ga3PCl GGA-PBE relaxed
data_Ga3PCl
_symmetry_space_group_name_H-M 'P 1'
_symmetry_Int_Tables_number 1
_cell_length_a 4.9702
_cell_length_b 4.9702
_cell_length_c 4.9702
_cell_angle_alpha 90.00
_cell_angle_beta 90.00
_cell_angle_gamma 90.00
loop_
_symmetry_equiv_pos_as_xyz
'x,y,z'
loop_
_atom_site_label
_atom_site_type_symbol
_atom_site_fract_x
_atom_site_fract_y
_atom_site_fract_z
_atom_site_occupancy
P1 P 0.0000 0.0000 0.0000 1
Ga1 Ga 0.0000 0.0000 0.5000 1
Ga2 Ga 0.5000 0.0000 0.0000 1
Cl1 Cl 0.5000 0.5000 0.5000 1
Ga3 Ga 0.0000 0.5000 0.0000 1
# DOS(E_F) in states/eV per atom: 0.360
# Total magnetic moment in μB/atom: 0.00

x:
# Ga3PCl GGA-PBE relaxed
data_Ga3PCl
_symmetry_space_group_name_H-M 'P 1'
_symmetry_Int_Tables_number 1
_cell_length_a 5.2171
_cell_length_b 5.2171
_cell_length_c 5.2171
_cell_angle_alpha 90.00
_cell_angle_beta 90.00
_cell_angle_gamma 90.00
loop_
_symmetry_equiv_pos_as_xyz
'x,y,z'
loop_
_atom_site_label
_atom_site_type_symbol
_atom_site_fract_x
_atom_site_fract_y
_atom_site_fract_z
_atom_site_occupancy
Ga1 Ga 0.5000 0.0000 0.0000 1
P1 P 0.5000 0.5000 0.5000 1
Ga2 Ga 0.0000 0.0000 0.5000 1
Cl1 Cl 0.0000 0.0000 0.0000 1
Ga3 Ga 0.0000 0.5000 0.0000 1
# DOS(E_F) in states/eV per atom: 0.956
# Total magnetic moment in μB/atom: 0.00

Tell me which of them is the least stable. Sure, it is x.